(1)
KAl2Ge2 after structural relaxation, computed with PBE-GGA. Values from VASP.

Output
Its distance to the lowest polymorph of the same formula is 1.22 eV per formula unit. Its symmetry is P4/mbm (127). As for the crystal system: tetragonal.

```
&SYSTEM
  ibrav = 0, nat = 10, ntyp = 3
/
ATOMIC_SPECIES
K 39.10 K.upf
Al 26.98 Al.upf
Ge 72.64 Ge.upf
CELL_PARAMETERS angstrom
8.171 0.000 0.000
0.000 8.171 0.000
0.000 0.000 3.155
ATOMIC_POSITIONS crystal
K 0.000 0.000 0.000
K 0.500 0.500 0.000
Al 0.126 0.374 0.000
Al 0.374 0.874 0.000
Al 0.626 0.126 0.000
Al 0.874 0.626 0.000
Ge 0.159 0.659 0.500
Ge 0.341 0.159 0.500
Ge 0.659 0.841 0.500
Ge 0.841 0.341 0.500
```

***

(2)
AcHoCuPb after structural relaxation, computed with PBE-GGA. Values from VASP.

Output
Its symmetry is F-43m (216). As for the crystal system: cubic. The value obtained for the total energy is -4.34 eV/atom.

```
&SYSTEM
  ibrav = 0, nat = 4, ntyp = 4
/
ATOMIC_SPECIES
Ac 227.00 Ac.upf
Ho 164.93 Ho.upf
Cu 63.55 Cu.upf
Pb 207.20 Pb.upf
CELL_PARAMETERS angstrom
0.000 3.857 3.857
3.857 0.000 3.857
3.857 3.857 0.000
ATOMIC_POSITIONS crystal
Ac 0.000 0.000 0.000
Ho 0.500 0.500 0.500
Cu 0.750 0.750 0.750
Pb 0.250 0.250 0.250
```

***

(3)
LuZrZnMo after structural relaxation, computed with PBE-GGA. Values from VASP.

Output
Its symmetry is F-43m (216). As for the crystal system: cubic. The value obtained for the total energy is -6.33 eV/atom.

```
&SYSTEM
  ibrav = 0, nat = 4, ntyp = 4
/
ATOMIC_SPECIES
Lu 174.97 Lu.upf
Zr 91.22 Zr.upf
Zn 65.41 Zn.upf
Mo 95.94 Mo.upf
CELL_PARAMETERS angstrom
0.000 3.395 3.395
3.395 0.000 3.395
3.395 3.395 0.000
ATOMIC_POSITIONS crystal
Lu 0.000 0.000 0.000
Zr 0.500 0.500 0.500
Zn 0.750 0.750 0.750
Mo 0.250 0.250 0.250
```

***

(4)
PbW2Cl after structural relaxation, computed with PBE-GGA. Values from VASP.

Output
Its distance to the lowest polymorph of the same formula is 0.01 eV per formula unit. Its symmetry is Pm (6). As for the crystal system: monoclinic.

```
&SYSTEM
  ibrav = 0, nat = 4, ntyp = 3
/
ATOMIC_SPECIES
Pb 207.20 Pb.upf
W 183.84 W.upf
Cl 35.45 Cl.upf
CELL_PARAMETERS angstrom
3.357 0.000 0.000
0.000 3.115 0.000
-1.662 0.000 8.957
ATOMIC_POSITIONS crystal
Pb 0.000 0.000 0.000
W 0.376 0.500 0.753
W 0.806 0.000 0.605
Cl 0.698 0.500 0.387
```

***

(5)
PbC4O4 after structural relaxation, computed with PBE-GGA. Values from VASP.

Output
Its symmetry is I4_1/amd (141). As for the crystal system: tetragonal. The value obtained for the total energy is -7.38 eV/atom.

```
&SYSTEM
  ibrav = 0, nat = 18, ntyp = 3
/
ATOMIC_SPECIES
Pb 207.20 Pb.upf
C 12.01 C.upf
O 16.00 O.upf
CELL_PARAMETERS angstrom
-3.731 3.731 5.215
3.731 -3.731 5.215
3.731 3.731 -5.215
ATOMIC_POSITIONS crystal
Pb 0.375 0.625 0.750
Pb 0.625 0.375 0.250
C 0.067 0.817 0.250
C 0.072 0.322 0.750
C 0.183 0.933 0.250
C 0.322 0.072 0.250
C 0.678 0.928 0.750
C 0.817 0.067 0.750
C 0.928 0.678 0.250
C 0.933 0.183 0.750
O 0.019 0.619 0.400
O 0.280 0.381 0.900
O 0.381 0.280 0.400
O 0.381 0.981 0.100
O 0.619 0.019 0.900
O 0.619 0.720 0.600
O 0.720 0.619 0.100
O 0.981 0.381 0.600
```

***

(6)
EuSeCl after structural relaxation, computed with PBE-GGA. Values from VASP.

Output
Its distance to the lowest polymorph of the same formula is 0.27 eV per formula unit. Its symmetry is I4mm (107). As for the crystal system: tetragonal.

```
&SYSTEM
  ibrav = 0, nat = 3, ntyp = 3
/
ATOMIC_SPECIES
Eu 151.96 Eu.upf
Se 78.96 Se.upf
Cl 35.45 Cl.upf
CELL_PARAMETERS angstrom
-1.791 1.791 6.914
1.791 -1.791 6.914
1.791 1.791 -6.914
ATOMIC_POSITIONS crystal
Eu 0.000 0.000 0.000
Se 0.630 0.630 0.000
Cl 0.384 0.384 0.000
```

***

(7)
Sc4BBr5 after structural relaxation, computed with PBE-GGA. Values from VASP.

Output
Its symmetry is C2/m (12). As for the crystal system: monoclinic. The value obtained for the total energy is -5.38 eV/atom.

```
&SYSTEM
  ibrav = 0, nat = 10, ntyp = 3
/
ATOMIC_SPECIES
Sc 44.96 Sc.upf
B 10.81 B.upf
Br 79.90 Br.upf
CELL_PARAMETERS angstrom
9.806 -1.838 0.000
9.806 1.838 0.000
-0.035 0.000 7.704
ATOMIC_POSITIONS crystal
Sc 0.000 0.000 0.203
Sc 0.000 0.000 0.797
Sc 0.384 0.384 0.999
Sc 0.616 0.616 0.001
B 0.500 0.500 0.000
Br 0.145 0.145 0.249
Br 0.146 0.146 0.755
Br 0.500 0.500 0.500
Br 0.854 0.854 0.245
Br 0.855 0.855 0.751
```

***

(8)
BaAu2 after structural relaxation, computed with PBE-GGA. Values from VASP.

Output
Its symmetry is Immm (71). As for the crystal system: orthorhombic. The value obtained for the total energy is -3.42 eV/atom.

```
&SYSTEM
  ibrav = 0, nat = 6, ntyp = 2
/
ATOMIC_SPECIES
Ba 137.33 Ba.upf
Au 196.97 Au.upf
CELL_PARAMETERS angstrom
-2.238 3.355 5.843
2.238 -3.355 5.843
2.238 3.355 -5.843
ATOMIC_POSITIONS crystal
Ba 0.171 0.171 0.000
Ba 0.829 0.829 0.000
Au 0.277 0.500 0.777
Au 0.379 0.879 0.500
Au 0.621 0.121 0.500
Au 0.723 0.500 0.223
```

***

(9)
LaPm3Th4Se8 after structural relaxation, computed with PBE-GGA. Values from VASP.

Output
Its symmetry is R-3m (166). As for the crystal system: trigonal. The value obtained for the total energy is -6.50 eV/atom.

```
&SYSTEM
  ibrav = 0, nat = 16, ntyp = 4
/
ATOMIC_SPECIES
La 138.91 La.upf
Pm 145.00 Pm.upf
Th 232.04 Th.upf
Se 78.96 Se.upf
CELL_PARAMETERS angstrom
4.167 2.406 7.026
-4.167 2.406 7.026
0.000 -4.811 7.026
ATOMIC_POSITIONS crystal
La 0.000 0.000 0.000
Pm 0.000 0.500 0.500
Pm 0.500 0.000 0.500
Pm 0.500 0.500 0.000
Th 0.000 0.000 0.500
Th 0.000 0.500 0.000
Th 0.500 0.000 0.000
Th 0.500 0.500 0.500
Se 0.251 0.251 0.251
Se 0.251 0.251 0.746
Se 0.251 0.746 0.251
Se 0.254 0.749 0.749
Se 0.746 0.251 0.251
Se 0.749 0.254 0.749
Se 0.749 0.749 0.254
Se 0.749 0.749 0.749
```

***

(10)
AlIr3Rh after structural relaxation, computed with PBE-GGA. Values from VASP.

Output
Its distance to the lowest polymorph of the same formula is 2.71 eV per formula unit. Its symmetry is Pm-3m (221). As for the crystal system: cubic.

```
&SYSTEM
  ibrav = 0, nat = 5, ntyp = 3
/
ATOMIC_SPECIES
Al 26.98 Al.upf
Ir 192.22 Ir.upf
Rh 102.91 Rh.upf
CELL_PARAMETERS angstrom
4.700 0.000 0.000
0.000 4.700 0.000
0.000 0.000 4.700
ATOMIC_POSITIONS crystal
Al 0.000 0.000 0.000
Ir 0.000 0.500 0.500
Ir 0.500 0.000 0.500
Ir 0.500 0.500 0.000
Rh 0.500 0.500 0.500
```

***

(11)
Sr3Ga2BiAu9 after structural relaxation, computed with PBE-GGA. Values from VASP.

Output
Its symmetry is P-3m1 (164). As for the crystal system: trigonal. The value obtained for the total energy is -3.31 eV/atom.

```
&SYSTEM
  ibrav = 0, nat = 15, ntyp = 4
/
ATOMIC_SPECIES
Sr 87.62 Sr.upf
Ga 69.72 Ga.upf
Bi 208.98 Bi.upf
Au 196.97 Au.upf
CELL_PARAMETERS angstrom
7.901 0.000 0.000
-3.951 6.842 0.000
0.000 0.000 7.474
ATOMIC_POSITIONS crystal
Sr 0.000 0.000 0.000
Sr 0.333 0.667 0.659
Sr 0.667 0.333 0.341
Ga 0.333 0.667 0.136
Ga 0.667 0.333 0.864
Bi 0.000 0.000 0.500
Au 0.000 0.500 0.000
Au 0.177 0.354 0.310
Au 0.177 0.823 0.310
Au 0.354 0.177 0.690
Au 0.500 0.000 0.000
Au 0.500 0.500 0.000
Au 0.646 0.823 0.310
Au 0.823 0.177 0.690
Au 0.823 0.646 0.690
```

***

(12)
Pm5Nd4Hg after structural relaxation, computed with PBE-GGA. Values from VASP.

Output
Its symmetry is P4/mmm (123). As for the crystal system: tetragonal. The value obtained for the total energy is -4.40 eV/atom.

```
&SYSTEM
  ibrav = 0, nat = 10, ntyp = 3
/
ATOMIC_SPECIES
Pm 145.00 Pm.upf
Nd 144.24 Nd.upf
Hg 200.59 Hg.upf
CELL_PARAMETERS angstrom
3.689 0.000 0.000
0.000 3.689 0.000
0.000 0.000 24.592
ATOMIC_POSITIONS crystal
Pm 0.000 0.000 0.000
Pm 0.000 0.000 0.209
Pm 0.000 0.000 0.418
Pm 0.000 0.000 0.582
Pm 0.000 0.000 0.791
Nd 0.500 0.500 0.104
Nd 0.500 0.500 0.314
Nd 0.500 0.500 0.686
Nd 0.500 0.500 0.896
Hg 0.500 0.500 0.500
```

***

Computed values of DOS(E_F) (unit: states/eV per atom) for the preceding records, in sequence: 0.56; 1.12; 0.48; 0.90; 0.00; 1.20; 0.50; 0.14; 0.34; 1.65; 0.38; 1.31.